Record 1
# Fe4TePb | the Alexandria database | PBE-GGA | optimized geometry
# - total magnetization (μB/cell) = 10.55
# - calculated volume (Å³/f.u.) = 98.6
# - total DFT energy (no corrections) (eV/atom) = -6.390
data_Fe4TePb
_chemical_formula_sum 'Fe4 Te1 Pb1'
_symmetry_space_group_name_H-M 'P 1'
_symmetry_Int_Tables_number 1
_symmetry_space_group_name_Hall 'P 1'
_cell_length_a 5.185
_cell_length_b 5.185
_cell_length_c 5.185
_cell_angle_alpha 60.00
_cell_angle_beta 60.00
_cell_angle_gamma 60.00
loop_
_atom_site_label
_atom_site_fract_x
_atom_site_fract_y
_atom_site_fract_z
_atom_site_occupancy
Fe1 0.873 0.376 0.376 1
Fe2 0.376 0.376 0.873 1
Fe3 0.376 0.873 0.376 1
Fe4 0.376 0.376 0.376 1
Te1 0.000 0.000 0.000 1
Pb1 0.750 0.750 0.750 1

=====

Record 2
# Fe2TePb | the Alexandria database | PBE-GGA | optimized geometry
# - total magnetization (μB/cell) = 5.08
# - calculated volume (Å³/f.u.) = 83.4
# - distance to the lowest polymorph of the same formula (eV/atom) = 0.278
# - total DFT energy (no corrections) (eV/atom) = -5.493
data_Fe2TePb
_chemical_formula_sum 'Fe2 Te1 Pb1'
_symmetry_space_group_name_H-M 'P 1'
_symmetry_Int_Tables_number 1
_symmetry_space_group_name_Hall 'P 1'
_cell_length_a 6.443
_cell_length_b 6.443
_cell_length_c 6.443
_cell_angle_alpha 151.47
_cell_angle_beta 139.02
_cell_angle_gamma 50.69
loop_
_atom_site_label
_atom_site_fract_x
_atom_site_fract_y
_atom_site_fract_z
_atom_site_occupancy
Fe1 0.994 0.994 0.000 1
Fe2 0.831 0.331 0.500 1
Pb1 0.473 0.473 0.000 1
Te1 0.202 0.702 0.500 1

=====

Record 3
# Fe2TePb | the Alexandria database | PBE-GGA | optimized geometry
# - total magnetization (μB/cell) = 12.06
# - calculated volume (Å³/f.u.) = 87.6
# - distance to the lowest polymorph of the same formula (eV/atom) = 0.508
# - total DFT energy (no corrections) (eV/atom) = -5.263
data_Fe2TePb
_chemical_formula_sum 'Fe4 Te2 Pb2'
_symmetry_space_group_name_H-M 'P 1'
_symmetry_Int_Tables_number 1
_symmetry_space_group_name_Hall 'P 1'
_cell_length_a 7.408
_cell_length_b 7.408
_cell_length_c 6.134
_cell_angle_alpha 52.86
_cell_angle_beta 52.86
_cell_angle_gamma 90.00
loop_
_atom_site_label
_atom_site_fract_x
_atom_site_fract_y
_atom_site_fract_z
_atom_site_occupancy
Pb1 0.000 0.000 0.000 1
Pb2 0.750 0.250 0.500 1
Te1 0.500 0.500 0.000 1
Te2 0.250 0.750 0.500 1
Fe1 0.600 0.125 0.250 1
Fe2 0.150 0.625 0.250 1
Fe3 0.375 0.400 0.750 1
Fe4 0.875 0.850 0.750 1

=====

Record 4
# Fe2TePb | the Alexandria database | PBE-GGA | optimized geometry
# - total magnetization (μB/cell) = 4.86
# - calculated volume (Å³/f.u.) = 80.2
# - distance to the lowest polymorph of the same formula (eV/atom) = 0.315
# - total DFT energy (no corrections) (eV/atom) = -5.456
data_Fe2TePb
_chemical_formula_sum 'Fe2 Te1 Pb1'
_symmetry_space_group_name_H-M 'P 1'
_symmetry_Int_Tables_number 1
_symmetry_space_group_name_Hall 'P 1'
_cell_length_a 3.374
_cell_length_b 3.473
_cell_length_c 7.040
_cell_angle_alpha 76.41
_cell_angle_beta 90.00
_cell_angle_gamma 90.00
loop_
_atom_site_label
_atom_site_fract_x
_atom_site_fract_y
_atom_site_fract_z
_atom_site_occupancy
Fe1 0.000 0.152 0.934 1
Fe2 0.000 0.348 0.566 1
Pb1 0.500 0.250 0.250 1
Te1 0.500 0.750 0.750 1

=====

Record 5
# FeTe3Pb | the Alexandria database | PBE-GGA | optimized geometry
# - total magnetization (μB/cell) = 3.77
# - calculated volume (Å³/f.u.) = 197.6
# - distance to the lowest polymorph of the same formula (eV/atom) = 0.843
# - total DFT energy (no corrections) (eV/atom) = -3.192
data_FeTe3Pb
_chemical_formula_sum 'Fe1 Te3 Pb1'
_symmetry_space_group_name_H-M 'P 1'
_symmetry_Int_Tables_number 1
_symmetry_space_group_name_Hall 'P 1'
_cell_length_a 5.824
_cell_length_b 5.824
_cell_length_c 5.824
_cell_angle_alpha 90.00
_cell_angle_beta 90.00
_cell_angle_gamma 90.00
loop_
_atom_site_label
_atom_site_fract_x
_atom_site_fract_y
_atom_site_fract_z
_atom_site_occupancy
Fe1 0.500 0.500 0.500 1
Te1 0.000 0.500 0.000 1
Te2 0.000 0.000 0.500 1
Te3 0.500 0.000 0.000 1
Pb1 0.000 0.000 0.000 1

=====

Record 6
# FeTe3Pb | the Alexandria database | PBE-GGA | optimized geometry
# - total magnetization (μB/cell) = 0.00
# - calculated volume (Å³/f.u.) = 135.3
# - distance to the lowest polymorph of the same formula (eV/atom) = 0.000
# - total DFT energy (no corrections) (eV/atom) = -4.035
data_FeTe3Pb
_chemical_formula_sum 'Fe1 Te3 Pb1'
_symmetry_space_group_name_H-M 'P 1'
_symmetry_Int_Tables_number 1
_symmetry_space_group_name_Hall 'P 1'
_cell_length_a 5.134
_cell_length_b 5.134
_cell_length_c 5.134
_cell_angle_alpha 90.00
_cell_angle_beta 90.00
_cell_angle_gamma 90.00
loop_
_atom_site_label
_atom_site_fract_x
_atom_site_fract_y
_atom_site_fract_z
_atom_site_occupancy
Pb1 0.500 0.500 0.500 1
Te1 0.000 0.500 0.000 1
Te2 0.000 0.000 0.500 1
Te3 0.500 0.000 0.000 1
Fe1 0.000 0.000 0.000 1

=====

Record 7
# Fe2TePb | the Alexandria database | PBE-GGA | optimized geometry
# - total magnetization (μB/cell) = 4.28
# - calculated volume (Å³/f.u.) = 90.3
# - distance to the lowest polymorph of the same formula (eV/atom) = 0.000
# - total DFT energy (no corrections) (eV/atom) = -5.771
data_Fe2TePb
_chemical_formula_sum 'Fe2 Te1 Pb1'
_symmetry_space_group_name_H-M 'P 1'
_symmetry_Int_Tables_number 1
_symmetry_space_group_name_Hall 'P 1'
_cell_length_a 4.024
_cell_length_b 4.024
_cell_length_c 6.848
_cell_angle_alpha 72.85
_cell_angle_beta 72.85
_cell_angle_gamma 60.00
loop_
_atom_site_label
_atom_site_fract_x
_atom_site_fract_y
_atom_site_fract_z
_atom_site_occupancy
Fe1 0.035 0.035 0.896 1
Fe2 0.702 0.702 0.893 1
Pb1 0.469 0.469 0.593 1
Te1 0.294 0.294 0.118 1

=====

Record 8
# Fe2TePb | the Alexandria database | PBE-GGA | optimized geometry
# - total magnetization (μB/cell) = 0.00
# - calculated volume (Å³/f.u.) = 68.1
# - distance to the lowest polymorph of the same formula (eV/atom) = 0.611
# - total DFT energy (no corrections) (eV/atom) = -5.160
data_Fe2TePb
_chemical_formula_sum 'Fe2 Te1 Pb1'
_symmetry_space_group_name_H-M 'P 1'
_symmetry_Int_Tables_number 1
_symmetry_space_group_name_Hall 'P 1'
_cell_length_a 4.584
_cell_length_b 4.584
_cell_length_c 4.584
_cell_angle_alpha 60.00
_cell_angle_beta 60.00
_cell_angle_gamma 60.00
loop_
_atom_site_label
_atom_site_fract_x
_atom_site_fract_y
_atom_site_fract_z
_atom_site_occupancy
Pb1 0.500 0.500 0.500 1
Te1 0.000 0.000 0.000 1
Fe1 0.250 0.250 0.250 1
Fe2 0.750 0.750 0.750 1

=====

Question: Look up the total DFT energy (no corrections) of the eighth one.
Answer: -5.160 eV/atom

=====

Question: Which of these has the highest total magnetization?
Answer: number 3

=====

Question: The lowest total DFT energy (no corrections) belongs to which entry?
Answer: Fe4TePb